Material: Ag7Hg
Method: DFT, PBE
State: relaxed

Properties
Formation enthalpy at 0 K ... 0.027 eV/atom
Volume ... 589.96 Å³/cell
Total energy ... -80.17 eV per cell
Mass density ... 10.76 g/cm3
Spin magnetization ... 0.00 μB/f.u.

a = 8.387 Å, b = 8.387 Å, c = 8.387 Å
α = 90.00°, β = 90.00°, γ = 90.00°
Space group Fm-3m (No. 225)
Unique sites:
Ag 0.000 0.000 0.000 [4 per cell]
Ag 0.000 0.250 0.250 [24 per cell]
Hg 0.000 0.000 0.500 [4 per cell]